An optimized crystal structure of ZrIr2Se. Source: Alexandria via LeMat-Bulk, functional PBE-GGA.

N(E_F): 3.6 states/eV per cell

abc: 3.5440 3.5440 5.7203
angles: 90.00 90.00 90.00
Fractional positions:
1 Ir 0.0000 0.0000 0.0503
2 Ir 0.5000 0.5000 0.1918
3 Se 0.0000 0.0000 0.5097
4 Zr 0.5000 0.5000 0.7482

An optimized crystal structure of ZnOs2Se. Source: Alexandria via LeMat-Bulk, functional PBE-GGA.

ΔE to the lowest computed polymorph: 0 meV per atom
N(E_F): 3.6 states/eV per cell

abc: 2.8721 2.8721 7.9749
angles: 90.00 90.00 90.00
Fractional positions:
1 Os 0.0000 0.0000 0.0160
2 Os 0.5000 0.5000 0.2318
3 Se 0.0000 0.0000 0.4547
4 Zn 0.5000 0.5000 0.7975

An optimized crystal structure of Tb2Zn5Pd4. Source: Alexandria via LeMat-Bulk, functional PBE-GGA.

Energy of formation from the pure elements: -0.60 eV/atom
N(E_F): 5.6 states/eV per cell

abc: 5.2852 5.2514 8.8229
angles: 81.33 72.57 59.79
Fractional positions:
1 Tb 0.8595 0.0000 0.2810
2 Tb 0.1405 0.0000 0.7190
3 Zn 0.5000 0.0000 0.0000
4 Zn 0.0000 0.5000 0.0000
5 Zn 0.5000 0.5000 0.0000
6 Zn 0.2500 0.5000 0.5000
7 Zn 0.7500 0.5000 0.5000
8 Pd 0.4656 0.3242 0.7446
9 Pd 0.5344 0.6758 0.2554
10 Pd 0.2102 0.3242 0.2554
11 Pd 0.7898 0.6758 0.7446

An optimized crystal structure of Sm4Ho4Al. Source: Alexandria via LeMat-Bulk, functional PBE-GGA.

Energy of formation from the pure elements: -0.03 eV/atom
N(E_F): 12.2 states/eV per cell

abc: 4.8636 7.8773 7.8773
angles: 84.53 72.02 72.02
Fractional positions:
1 Sm 0.6588 0.6823 0.0000
2 Sm 0.3412 0.3177 0.0000
3 Sm 0.6588 0.0000 0.6823
4 Sm 0.3412 0.0000 0.3177
5 Ho 0.6674 0.3326 0.3327
6 Ho 0.3326 0.6674 0.6673
7 Ho 0.0000 0.6673 0.3326
8 Ho 0.0000 0.3327 0.6674
9 Al 0.0000 0.0000 0.0000

An optimized crystal structure of InMo2Pt. Source: Alexandria via LeMat-Bulk, functional PBE-GGA.

Energy of formation from the pure elements: 0.07 eV/atom
N(E_F): 2.5 states/eV per cell

abc: 4.3484 2.8037 6.1852
angles: 63.15 90.00 90.00
Fractional positions:
1 In 0.5000 0.7500 0.7500
2 Mo 0.0000 0.9798 0.0162
3 Mo 0.0000 0.5202 0.4838
4 Pt 0.5000 0.2500 0.2500

An optimized crystal structure of BaCoPb2. Source: Alexandria via LeMat-Bulk, functional PBE-GGA.

Energy of formation from the pure elements: -0.04 eV/atom
N(E_F): 4.1 states/eV per cell

abc: 4.5575 4.5575 7.0403
angles: 71.20 71.20 59.90
Last column: magnetic moment on the atom in μB.
Fractional positions:
1 Ba 0.2500 0.2500 0.2500  -0.02
2 Co 0.7500 0.7500 0.7500  1.09
3 Pb 0.0359 0.0359 0.8923  -0.01
4 Pb 0.4641 0.4641 0.6077  -0.01

An optimized crystal structure of Rb2HgTeS. Source: Alexandria via LeMat-Bulk, functional PBE-GGA.

ΔE to the lowest computed polymorph: 0 meV per atom

abc: 4.6674 8.5330 10.7874
angles: 107.99 90.00 90.00
Fractional positions:
1 Rb 0.7500 0.8177 0.6117
2 Rb 0.7500 0.7943 0.0352
3 Rb 0.2500 0.1823 0.3883
4 Rb 0.2500 0.2057 0.9648
5 Hg 0.2500 0.5060 0.7447
6 Hg 0.7500 0.4940 0.2553
7 Te 0.2500 0.6986 0.3023
8 Te 0.7500 0.3014 0.6977
9 S 0.2500 0.8063 0.8211
10 S 0.7500 0.1937 0.1789

An optimized crystal structure of Cr3CuSe. Source: Alexandria via LeMat-Bulk, functional PBE-GGA.

ΔE to the lowest computed polymorph: 116 meV per atom
N(E_F): 10.7 states/eV per cell

abc: 4.3374 4.3374 4.3374
angles: 90.00 90.00 90.00
Fractional positions:
1 Cr 0.0000 0.5000 0.0000
2 Cr 0.0000 0.0000 0.5000
3 Cr 0.5000 0.0000 0.0000
4 Cu 0.5000 0.5000 0.5000
5 Se 0.0000 0.0000 0.0000

An optimized crystal structure of TbDy2Zn. Source: Alexandria via LeMat-Bulk, functional PBE-GGA.

ΔE to the lowest computed polymorph: 105 meV per atom
Energy of formation from the pure elements: -0.06 eV/atom
N(E_F): 5.2 states/eV per cell

abc: 3.5921 3.5921 10.4258
angles: 80.08 80.08 60.00
Fractional positions:
1 Tb 0.5003 0.5003 0.4990
2 Dy 0.0722 0.0722 0.7833
3 Dy 0.2612 0.2612 0.2165
4 Zn 0.6663 0.6663 0.0012

An optimized crystal structure of TbThSn. Source: Alexandria via LeMat-Bulk, functional PBE-GGA.

ΔE to the lowest computed polymorph: 0 meV per atom
Energy of formation from the pure elements: -0.52 eV/atom
N(E_F): 6.8 states/eV per cell

abc: 4.5603 4.5603 9.3275
angles: 104.15 104.15 90.00
Fractional positions:
1 Tb 0.1756 0.1756 0.3511
2 Tb 0.8244 0.8244 0.6489
3 Th 0.0000 0.5000 0.0000
4 Th 0.5000 0.0000 0.0000
5 Sn 0.3569 0.3569 0.7137
6 Sn 0.6431 0.6431 0.2863

An optimized crystal structure of V2Co2Tc. Source: Alexandria via LeMat-Bulk, functional PBE-GGA.

ΔE to the lowest computed polymorph: 0 meV per atom
Energy of formation from the pure elements: -0.05 eV/atom
N(E_F): 12.5 states/eV per cell

abc: 6.8266 6.8266 2.6710
angles: 90.00 90.00 90.00
Fractional positions:
1 Co 0.3721 0.8721 0.0000
2 Co 0.8721 0.6279 0.0000
3 Co 0.6279 0.1279 0.0000
4 Co 0.1279 0.3721 0.0000
5 Tc 0.0000 0.0000 0.0000
6 Tc 0.5000 0.5000 0.0000
7 V 0.1698 0.6698 0.5000
8 V 0.6698 0.8302 0.5000
9 V 0.8302 0.3302 0.5000
10 V 0.3302 0.1698 0.5000

An optimized crystal structure of KTmSnSe3. Source: Alexandria via LeMat-Bulk, functional PBE-GGA.

abc: 4.0721 8.7783 11.7094
angles: 90.00 90.00 103.41
Fractional positions:
1 K 0.6810 0.3621 0.7500
2 K 0.3190 0.6379 0.2500
3 Tm 0.0000 0.0000 0.5000
4 Tm 0.0000 0.0000 0.0000
5 Sn 0.3806 0.7612 0.7500
6 Sn 0.6194 0.2388 0.2500
7 Se 0.6134 0.2268 0.4994
8 Se 0.3866 0.7732 0.5006
9 Se 0.3866 0.7732 0.9994
10 Se 0.6134 0.2268 0.0006
11 Se 0.9904 0.9808 0.7500
12 Se 0.0096 0.0192 0.2500

Calculated total magnetization in order - 0.0 0.0 0.0 0.0 0.0 1.0 0.0 0.0 0.0 0.0 0.0 0.0 μB/f.u.
Calculated E in order - -7.669 -6.486 -3.913 -4.573 -7.539 -4.152 -2.700 -6.057 -3.833 -5.867 -8.617 -4.511 eV/atom